(1)
A relaxed CrB2Sb crystal, computed with PBE.

Cell: 5.0027 5.0027 9.7087 Å, 90.00 90.00 90.00°
Space group I-42d (No. 122)
Inequivalent atoms, fractional coordinates:
Cr (0.0000, 0.0000, 0.0000) [4 per cell]
B (0.2039, 0.2500, 0.1250) [8 per cell]
Sb (0.0000, 0.0000, 0.5000) [4 per cell]

## Properties
- VASP energy (eV/atom) = -5.8566
- size of the total moment (μB per cell) = 0.00
- raw formation energy (eV per atom) = 0.9186

***

(2)
A relaxed CrTcB2Sb crystal, computed with PBE.

Cell: 3.9608 3.9608 4.9375 Å, 90.00 90.00 90.00°
Space group P4/mmm (No. 123)
Inequivalent atoms, fractional coordinates:
Cr (0.0000, 0.0000, 0.0000) [1 per cell]
Tc (0.5000, 0.5000, 0.5000) [1 per cell]
B (0.0000, 0.5000, 0.0000) [2 per cell]
Sb (0.0000, 0.0000, 0.5000) [1 per cell]

## Properties
- VASP energy (eV/atom) = -6.1337
- size of the total moment (μB per cell) = 3.28
- raw formation energy (eV per atom) = 1.3597

***

(3)
A relaxed CrB2SbTe crystal, computed with PBE.

Cell: 4.3560 4.3560 5.9078 Å, 90.00 90.00 90.00°
Space group P4/mmm (No. 123)
Inequivalent atoms, fractional coordinates:
Cr (0.0000, 0.0000, 0.0000) [1 per cell]
B (0.0000, 0.5000, 0.5000) [2 per cell]
Sb (0.5000, 0.5000, 0.0000) [1 per cell]
Te (0.5000, 0.5000, 0.5000) [1 per cell]

## Properties
- VASP energy (eV/atom) = -3.7475
- size of the total moment (μB per cell) = 0.17
- raw formation energy (eV per atom) = 2.3009

***

(4)
A relaxed CrBSbTe2 crystal, computed with PBE.

Cell: 5.2244 5.2244 5.0252 Å, 90.00 90.00 90.00°
Space group P4/mmm (No. 123)
Inequivalent atoms, fractional coordinates:
Cr (0.0000, 0.0000, 0.0000) [1 per cell]
B (0.5000, 0.5000, 0.5000) [1 per cell]
Sb (0.0000, 0.0000, 0.5000) [1 per cell]
Te (0.0000, 0.5000, 0.0000) [2 per cell]

## Properties
- VASP energy (eV/atom) = -4.1096
- size of the total moment (μB per cell) = 2.48
- raw formation energy (eV per atom) = 1.2317